1.
First-principles (GGA-PBE) data for a relaxed Ho2InAu6 crystal, as listed in the Alexandria database.

The structure in CIF format:
```
data_Ho2InAu6
_cell_length_a 5.225
_cell_length_b 15.748
_cell_length_c 5.193
_cell_angle_alpha 90.00
_cell_angle_beta 119.58
_cell_angle_gamma 90.00
_space_group_name_H-M_alt 'C 1 2/m 1'
_space_group_IT_number 12
_space_group_name_Hall '-C 2y'
loop_
_atom_site_label
_atom_site_type_symbol
_atom_site_fract_x
_atom_site_fract_y
_atom_site_fract_z
Ho1 Ho 0.000 0.161 0.000
In1 In 0.000 0.000 0.500
Au1 Au 0.155 0.500 0.822
Au2 Au 0.162 0.330 0.326
```

***

2.
First-principles (GGA-PBE) data for a relaxed Ho5InAu4 crystal, as listed in the Alexandria database.

The structure in CIF format:
```
data_Ho5InAu4
_cell_length_a 3.572
_cell_length_b 3.572
_cell_length_c 18.570
_cell_angle_alpha 90.00
_cell_angle_beta 90.00
_cell_angle_gamma 90.00
_space_group_name_H-M_alt 'P 4/m m m'
_space_group_IT_number 123
_space_group_name_Hall '-P 4 2'
loop_
_atom_site_label
_atom_site_type_symbol
_atom_site_fract_x
_atom_site_fract_y
_atom_site_fract_z
Ho1 Ho 0.000 0.000 0.000
Ho2 Ho 0.000 0.000 0.195
Ho3 Ho 0.000 0.000 0.387
In1 In 0.500 0.500 0.500
Au1 Au 0.500 0.500 0.097
Au2 Au 0.500 0.500 0.293
```

***

3.
First-principles (GGA-PBE) data for a relaxed Ho8In2Au crystal, as listed in the Alexandria database.

The structure in CIF format:
```
data_Ho8In2Au
_cell_length_a 18.714
_cell_length_b 5.109
_cell_length_c 6.720
_cell_angle_alpha 90.00
_cell_angle_beta 101.91
_cell_angle_gamma 90.00
_space_group_name_H-M_alt 'C 1 2/m 1'
_space_group_IT_number 12
_space_group_name_Hall '-C 2y'
loop_
_atom_site_label
_atom_site_type_symbol
_atom_site_fract_x
_atom_site_fract_y
_atom_site_fract_z
Ho1 Ho 0.017 0.000 0.269
Ho2 Ho 0.092 0.500 0.963
Ho3 Ho 0.152 0.500 0.482
Ho4 Ho 0.208 0.000 0.808
In1 In 0.186 0.000 0.253
Au1 Au 0.000 0.500 0.500
```

***

4.
First-principles (GGA-PBE) data for a relaxed Ho4In5Au2 crystal, as listed in the Alexandria database.

The structure in CIF format:
```
data_Ho4In5Au2
_cell_length_a 7.780
_cell_length_b 3.626
_cell_length_c 9.798
_cell_angle_alpha 90.00
_cell_angle_beta 94.71
_cell_angle_gamma 90.00
_space_group_name_H-M_alt 'P 1 2/m 1'
_space_group_IT_number 10
_space_group_name_Hall '-P 2y'
loop_
_atom_site_label
_atom_site_type_symbol
_atom_site_fract_x
_atom_site_fract_y
_atom_site_fract_z
Ho1 Ho 0.187 0.000 0.366
Ho2 Ho 0.233 0.000 0.937
In1 In 0.168 0.500 0.646
In2 In 0.460 0.500 0.181
In3 In 0.500 0.500 0.500
Au1 Au 0.074 0.500 0.138
```

***

Magnetization: 0.0, 0.0, 0.0, 0.0 (μB per formula unit)
ΔH_f (0 K): -0.618, -0.789, -0.296, -0.567 (eV/atom)
Density of states at the Fermi level: 2.6, 6.5, 10.5, 7.0 (states/eV/f.u.)